Here is a relaxed structure of Li2GeMoN from Alexandria. Energies are from PBE.

Unit cell a=3.9371 b=3.9371 c=4.0172 alpha=90.00 beta=90.00 gamma=90.00
Last column: magnetic moment on the atom in μB.
Fractional coordinates of all 5 atoms:
Mo1 0.0000 0.0000 0.5000  0.64
Li1 0.0000 0.5000 0.0000  0.00
Li2 0.5000 0.0000 0.0000  0.00
Ge1 0.5000 0.5000 0.5000  0.01
N1 0.0000 0.0000 0.0000  -0.03

Output
calculated total energy	-29.1	eV/cell
magnetic moment	0.142	μB per atom
formation energy from raw total energies	-0.290	eV/atom